Entry 1:
7
Lattice="2.870 1.657 2.335 -2.870 1.657 2.335 0.000 -3.315 2.335" Properties=species:S:1:pos:R:3 comment="MgH3Ir3 (GGA-PBE, relaxed)" e_tot_ev_per_fu=-38.44 space_group="No. 160" rho_g_cm3=15.05 total_magnetization_mub_per_atom=0.00 pbc="T T T"
Mg 0.000 0.000 0.000
H -1.241 -0.717 5.487
H 1.241 -0.717 5.487
H 0.000 1.433 5.487
Ir -1.395 -0.806 2.321
Ir 1.395 -0.806 2.321
Ir 0.000 1.611 2.321

Entry 2:
135
Lattice="12.317 0.000 0.000 -6.159 10.667 0.000 0.000 0.000 14.141" Properties=species:S:1:pos:R:3 comment="Na15S5ClO20F4 (GGA-PBE, relaxed)" e_tot_ev_per_fu=-238.22 space_group="No. 157" rho_g_cm3=2.51 e_form_raw_mev_per_atom=-1985 total_magnetization_mub_per_atom=0.00 pbc="T T T"
Na -1.166 2.020 2.548
Na -3.181 5.509 0.000
Na -3.184 5.515 8.638
Na -5.040 8.730 11.432
Na -5.084 8.806 5.925
Na -2.298 7.145 6.061
Na -2.237 7.122 11.532
Na -3.176 8.750 8.707
Na -1.120 5.235 2.727
Na -0.074 3.559 14.099
Na -3.040 8.952 14.099
Na 1.075 1.862 5.925
Na 0.169 3.542 8.707
Na 1.119 1.938 11.432
Na 2.333 0.000 2.548
Na 1.121 5.104 6.061
Na 2.983 1.918 8.707
Na 1.110 5.169 11.532
Na 3.119 1.716 14.099
Na -1.065 9.020 2.727
Na 3.860 3.523 6.061
Na 2.975 5.152 8.638
Na 2.978 5.158 0.000
Na 3.922 3.546 11.532
Na 5.093 1.647 2.727
Na 2.185 7.080 2.727
Na 1.127 9.044 11.532
Na 6.362 0.000 0.000
Na 6.368 0.000 8.638
Na 1.178 9.085 6.061
Na 5.039 5.433 2.727
Na 3.113 8.824 14.099
Na 7.286 1.623 11.532
Na 3.007 9.043 8.707
Na 7.337 1.582 6.061
Na 4.992 8.647 2.548
Na 10.080 0.000 11.432
Na 9.165 1.625 8.707
Na 10.168 0.000 5.925
Na 6.085 7.108 14.099
Na 9.272 1.843 14.099
Na 8.344 3.587 2.727
Na 7.269 5.498 11.532
Na 6.328 7.125 8.707
Na 7.279 5.563 6.061
S 0.000 0.000 8.664
S 0.000 0.000 13.950
S -2.059 3.566 5.785
S -2.072 3.588 11.195
S -4.119 7.135 2.865
S 2.040 3.533 2.865
S 0.000 7.112 0.109
S 0.000 7.112 8.931
S 4.118 0.000 5.785
S 4.143 0.000 11.195
S 4.087 7.079 11.195
S 4.100 7.101 5.785
S 6.159 3.556 0.109
S 6.159 3.556 8.931
S 8.238 0.000 2.865
Cl 0.000 0.000 4.008
Cl 0.000 7.112 4.649
Cl 6.159 3.556 4.649
O 0.000 0.000 7.165
O 0.000 0.000 12.450
O -0.705 1.221 0.302
O -2.065 3.577 4.285
O -2.103 3.642 9.694
O -2.762 4.784 6.290
O -2.763 4.785 11.761
O -3.409 5.905 2.402
O -4.140 7.170 4.356
O -5.454 9.446 9.157
O 1.410 0.000 0.302
O 0.705 1.221 9.157
O -0.653 3.557 6.281
O -0.653 3.570 11.659
O -3.402 8.339 2.344
O 0.638 3.552 2.344
O -1.408 7.135 8.436
O -2.751 9.454 6.281
O -2.740 9.448 11.659
O -1.409 7.155 13.760
O 2.019 3.497 4.356
O 0.667 5.870 13.760
O 0.683 5.880 8.436
O 3.407 1.213 6.281
O 2.757 2.328 2.344
O 0.000 7.112 1.606
O 0.000 7.112 10.435
O 4.131 0.000 4.285
O 3.419 1.219 11.659
O 4.205 0.000 9.694
O 2.750 4.762 2.402
O 5.524 0.000 6.290
O 5.525 0.000 11.761
O 0.725 8.319 8.436
O 0.742 8.310 13.760
O 4.750 3.513 13.760
O 4.751 3.532 8.436
O 3.396 5.882 11.761
O 3.397 5.883 6.290
O 6.818 0.000 2.402
O 4.056 7.025 9.694
O 4.093 7.090 4.285
O 3.393 8.316 11.659
O 6.159 3.556 1.606
O 6.159 3.556 10.435
O 3.405 8.323 6.281
O 2.764 9.443 2.344
O 6.883 2.348 8.436
O 6.900 2.357 13.760
O 8.279 0.000 4.356
O 6.826 4.797 13.760
O 6.842 4.787 8.436
O 5.505 7.097 11.659
O 5.506 7.110 6.281
O 8.923 1.224 2.344
O 6.796 7.116 2.344
O 10.908 0.000 9.157
O 9.563 2.344 6.281
O 9.552 2.351 11.659
O 5.454 9.446 0.302
F -2.144 3.713 1.081
F -4.063 7.038 10.143
F -4.165 7.214 7.307
F -4.220 7.309 13.103
F 1.939 3.358 13.103
F 1.994 3.454 7.307
F 2.095 3.629 10.143
F 4.287 0.000 1.081
F 4.015 6.954 1.081
F 8.127 0.000 10.143
F 8.330 0.000 7.307
F 8.440 0.000 13.103

Entry 3:
16
Lattice="4.718 0.000 0.000 0.000 4.718 0.000 0.000 0.000 18.726" Properties=species:S:1:pos:R:3 comment="Na3CeHg12 (GGA-PBE, relaxed)" e_tot_ev_per_fu=-16.87 space_group="No. 123" rho_g_cm3=10.42 ef_kj_per_mol_fu=-324 total_magnetization_mub_per_atom=0.08 pbc="T T T"
Na 0.000 0.000 0.000
Na 0.000 0.000 4.651
Na 0.000 0.000 14.075
Ce 0.000 0.000 9.363
Hg 0.000 2.359 2.341
Hg 0.000 2.359 7.008
Hg 0.000 2.359 11.718
Hg 0.000 2.359 16.385
Hg 2.359 0.000 2.341
Hg 2.359 0.000 7.008
Hg 2.359 0.000 11.718
Hg 2.359 0.000 16.385
Hg 2.359 2.359 0.000
Hg 2.359 2.359 4.706
Hg 2.359 2.359 9.363
Hg 2.359 2.359 14.020

Entry 4:
5
Lattice="4.946 0.000 0.000 0.000 4.946 0.000 0.000 0.000 4.946" Properties=species:S:1:pos:R:3 comment="BaTi3V (GGA-PBE, relaxed)" e_tot_ev_per_fu=-24.72 space_group="No. 221" rho_g_cm3=4.56 ef_kj_per_mol_fu=966 total_magnetization_mub_per_atom=0.38 pbc="T T T"
Ba 0.000 0.000 0.000
Ti 0.000 0.000 2.473
Ti 0.000 2.473 0.000
Ti 2.473 0.000 0.000
V 2.473 2.473 2.473

Entry 5:
5
Lattice="4.998 0.000 0.000 0.000 4.998 0.000 0.000 0.000 5.051" Properties=species:S:1:pos:R:3 comment="SiSnRu2Cl (GGA-PBE, relaxed)" e_tot_ev_per_fu=-21.74 space_group="No. 123" rho_g_cm3=5.06 e_form_raw_mev_per_atom=1617 total_magnetization_mub_per_atom=0.50 pbc="T T T"
Si 0.000 0.000 0.000
Sn 2.499 2.499 2.525
Ru 0.000 2.499 2.525
Ru 2.499 0.000 2.525
Cl 2.499 2.499 0.000

Entry 6:
4
Lattice="3.026 0.000 0.000 0.000 3.026 0.000 0.000 0.000 7.536" Properties=species:S:1:pos:R:3 comment="BaCrCo2 (GGA-PBE, relaxed)" e_tot_ev_per_fu=-23.18 space_group="No. 123" rho_g_cm3=7.39 ef_kj_per_mol_fu=249 total_magnetization_mub_per_atom=0.17 pbc="T T T"
Ba 0.000 0.000 0.000
Cr 0.000 0.000 3.768
Co 1.513 1.513 2.572
Co 1.513 1.513 4.963